# 1
The following is a PBE calculation of a geometry-optimized Cs3Te4H2 structure, from the Alexandria database.

Cell: 7.287 9.954 9.954 Å, 95.02 84.01 84.01°
Sites, in units of the cell vectors:
Cs 0.688 0.717 0.950
Te 0.219 0.540 0.768
Te 0.281 0.232 0.460
Te 0.719 0.768 0.540
Cs 0.812 0.050 0.283
Cs 0.312 0.283 0.050
Te 0.675 0.050 0.761
H 0.575 0.827 0.429
Te 0.825 0.239 0.950
H 0.925 0.571 0.172
H 0.425 0.173 0.571
Cs 0.250 0.617 0.383
Te 0.781 0.460 0.232
Cs 0.750 0.383 0.617
Cs 0.188 0.950 0.717
Te 0.175 0.761 0.050
Te 0.325 0.950 0.239
H 0.075 0.429 0.828

DFT total energy = -0.108 hartree per atom
SG = C2/c, No. 15
Magnetization = 0.000 μB/cell
Crystal system = monoclinic

=====

# 2
The following is a PBE calculation of a geometry-optimized ZrNi6Pt6 structure, from the Alexandria database.

Cell: 4.939 6.568 6.568 Å, 83.06 67.91 67.91°
Each line ends with the local moment (μB).
Sites, in units of the cell vectors:
Ni 0.000 0.500 0.000  0.66
Pt 0.322 0.178 0.178  0.19
Pt 0.662 0.338 0.338  0.17
Ni 0.500 0.242 0.758  0.69
Ni 0.500 0.000 0.500  0.66
Pt 0.000 0.659 0.341  0.17
Ni 0.500 0.500 0.000  0.66
Ni 0.500 0.758 0.242  0.69
Pt 0.678 0.822 0.822  0.19
Zr 0.000 0.000 0.000  -0.05
Pt 0.338 0.662 0.662  0.17
Ni 0.000 0.000 0.500  0.66
Pt 0.000 0.341 0.659  0.17

DFT total energy = -0.235 hartree per atom
E_form = -28 kJ per mole of atoms
SG = Immm, No. 71
Magnetization = 4.827 μB/cell
Crystal system = orthorhombic

=====

# 3
The following is a PBE calculation of a geometry-optimized Ti2InCu structure, from the Alexandria database.

Cell: 4.078 4.104 8.058 Å, 90.00 90.00 90.00°
Each line ends with the local moment (μB).
Sites, in units of the cell vectors:
Ti 0.250 0.000 0.862  -0.10
Ti 0.250 0.000 0.393  0.58
Cu 0.750 0.500 0.385  0.03
Ti 0.750 0.000 0.138  -0.10
Cu 0.250 0.500 0.615  0.03
Ti 0.750 0.000 0.607  0.58
In 0.250 0.500 0.140  0.01
In 0.750 0.500 0.860  0.01

DFT total energy = -0.211 hartree per atom
E_form = -7 kJ per mole of atoms
SG = Pmma, No. 51
Magnetization = 1.227 μB/cell
Crystal system = orthorhombic

=====

# 4
The following is a PBE calculation of a geometry-optimized Ho8GaTe4P3 structure, from the Alexandria database.

Cell: 8.273 8.484 8.273 Å, 119.18 120.00 90.00°
Sites, in units of the cell vectors:
Ho 0.737 0.716 0.977
Ho 0.263 0.284 0.023
P 0.000 0.500 0.500
Ho 0.761 0.284 0.521
Ho 0.737 0.710 0.473
Te 0.500 0.000 0.000
Te 0.000 0.000 0.500
Ho 0.761 0.284 0.023
Ho 0.239 0.716 0.977
Te 0.500 0.000 0.500
Ga 0.000 0.500 0.000
Ho 0.239 0.716 0.479
P 0.500 0.500 0.000
Te 0.000 0.000 0.000
Ho 0.263 0.290 0.527
P 0.500 0.500 0.500

DFT total energy = -0.208 hartree per atom
Formation energy (no corrections) = -22.15 eV/f.u.
SG = R-3m, No. 166
Magnetization = 0.000 μB/cell
Crystal system = trigonal

=====

# 5
The following is a PBE calculation of a geometry-optimized Mg2TaSi structure, from the Alexandria database.

Cell: 4.609 4.609 4.609 Å, 60.00 60.00 60.00°
Each line ends with the local moment (μB).
Sites, in units of the cell vectors:
Si 0.500 0.500 0.500  0.01
Mg 0.000 0.000 0.000  0.00
Ta 0.750 0.750 0.750  0.33
Mg 0.250 0.250 0.250  0.00

DFT total energy = -0.175 hartree per atom
Formation energy (no corrections) = 1.37 eV/f.u.
SG = F-43m, No. 216
Magnetization = 0.525 μB/cell
Crystal system = cubic

=====

# 6
The following is a PBE calculation of a geometry-optimized AcBPt4 structure, from the Alexandria database.

Cell: 5.850 5.850 7.779 Å, 69.88 69.88 60.84°
Sites, in units of the cell vectors:
B 0.542 0.542 0.191
Ac 0.808 0.808 0.795
Pt 0.363 0.835 0.610
Ac 0.192 0.192 0.205
Pt 0.637 0.165 0.390
Pt 0.725 0.725 0.257
Pt 0.165 0.637 0.390
Pt 0.275 0.275 0.743
Pt 0.755 0.245 0.000
Pt 0.245 0.755 0.000
B 0.458 0.458 0.809
Pt 0.835 0.363 0.610

DFT total energy = -0.238 hartree per atom
E_form = -63 kJ per mole of atoms
SG = C2/m, No. 12
Magnetization = 0.000 μB/cell
Crystal system = monoclinic

=====

What is the formula in the third record? Ti2InCu

=====

Repeat the fourth record exactly.
The following is a PBE calculation of a geometry-optimized Ho8GaTe4P3 structure, from the Alexandria database.

Cell: 8.273 8.484 8.273 Å, 119.18 120.00 90.00°
Sites, in units of the cell vectors:
Ho 0.737 0.716 0.977
Ho 0.263 0.284 0.023
P 0.000 0.500 0.500
Ho 0.761 0.284 0.521
Ho 0.737 0.710 0.473
Te 0.500 0.000 0.000
Te 0.000 0.000 0.500
Ho 0.761 0.284 0.023
Ho 0.239 0.716 0.977
Te 0.500 0.000 0.500
Ga 0.000 0.500 0.000
Ho 0.239 0.716 0.479
P 0.500 0.500 0.000
Te 0.000 0.000 0.000
Ho 0.263 0.290 0.527
P 0.500 0.500 0.500

DFT total energy = -0.208 hartree per atom
Formation energy (no corrections) = -22.15 eV/f.u.
SG = R-3m, No. 166
Magnetization = 0.000 μB/cell
Crystal system = trigonal

=====

Which formula does entry 2 have? ZrNi6Pt6